Material: MgFe4Si2Sn7O16
Method: DFT, GGA+U
State: relaxed

Summary:
Symmetry: No. 12
VASP energy (eV/atom): -6.316
Total magnetization (μB per formula unit): 15.2

Cell lengths 7.0456, 7.0456, 10.1607 Å; angles 90.69, 90.69, 59.94 degrees
With the nearest neighbours (Å) after each atom.
Fractional coordinates of all 30 atoms:
Mg 0.5000 0.5000 0.0000  2 O 1.97
Fe 0.0000 0.5000 0.5000  6 O 2.23-2.36
Fe 0.0000 0.0000 0.0000  6 Sn 2.78-2.84
Fe 0.5000 0.5000 0.5000  6 O 2.21-2.28
Fe 0.5000 0.0000 0.5000  6 O 2.23-2.36
Si 0.3255 0.3255 0.2489  4 O 1.63-1.65
Si 0.6745 0.6745 0.7511  4 O 1.63-1.65
Sn 0.6829 0.1471 0.8016  3 O 2.07-2.15
Sn 0.0000 0.0000 0.5000  6 O 2.25-2.26
Sn 0.1471 0.6829 0.8016  3 O 2.07-2.15
Sn 0.1763 0.1763 0.8207  4 O 2.13-2.31
Sn 0.8237 0.8237 0.1793  4 O 2.13-2.31
Sn 0.8529 0.3171 0.1984  3 O 2.07-2.15
Sn 0.3171 0.8529 0.1984  3 O 2.07-2.15
O 0.0677 0.4523 0.2003  1 Si 1.64
O 0.4523 0.0677 0.2003  1 Si 1.64
O 0.3513 0.3513 0.8671  3 Sn 2.15-2.18, 1 Mg 2.25
O 0.9323 0.5477 0.7997  1 Si 1.64
O 0.4462 0.4462 0.1823  1 Si 1.63
O 0.8355 0.3292 0.4019  2 Sn 2.07-2.25, 2 Fe 2.26-2.28
O 0.5538 0.5538 0.8177  1 Si 1.63
O 0.6708 0.1645 0.5981  2 Sn 2.07-2.25, 2 Fe 2.26-2.28
O 0.5477 0.9323 0.7997  1 Si 1.64
O 0.6667 0.6667 0.5889  1 Si 1.65
O 0.3292 0.8355 0.4019  2 Sn 2.07-2.25, 2 Fe 2.26-2.28
O 0.6487 0.6487 0.1329  3 Sn 2.15-2.18, 1 Mg 2.25
O 0.8387 0.8387 0.3888  2 Sn 2.13-2.26, 2 Fe 2.36
O 0.3333 0.3333 0.4111  1 Si 1.65
O 0.1645 0.6708 0.5981  2 Sn 2.07-2.25, 2 Fe 2.26-2.28
O 0.1613 0.1613 0.6112  2 Sn 2.13-2.26, 2 Fe 2.36